# ZrGaFe2I (GGA-PBE, optimized geometry)
data_ZrGaFe2I
_cell_length_a 4.5947
_cell_length_b 5.3726
_cell_length_c 4.5947
_cell_angle_alpha 90.00
_cell_angle_beta 90.00
_cell_angle_gamma 90.00
_space_group_name_H-M_alt 'P 1'
_space_group_IT_number 1
loop_
_space_group_symop_operation_xyz
'x,y,z'
loop_
_atom_site_label
_atom_site_type_symbol
_atom_site_fract_x
_atom_site_fract_y
_atom_site_fract_z
Fe1 Fe 0.5000 0.0000 0.0000
Fe2 Fe 0.0000 0.0000 0.5000
I1 I 0.0000 0.0000 0.0000
Ga1 Ga 0.5000 0.5000 0.5000
Zr1 Zr 0.0000 0.5000 0.0000
# Total magnetic moment   3.78 μB/f.u.
# Formation energy from raw total energies   5.61 eV/f.u.
# E   -4.89 eV/atom

# In2GaFe (GGA-PBE, optimized geometry)
data_In2GaFe
_cell_length_a 9.7556
_cell_length_b 9.7556
_cell_length_c 7.2770
_cell_angle_alpha 47.91
_cell_angle_beta 47.91
_cell_angle_gamma 90.00
_space_group_name_H-M_alt 'P 1'
_space_group_IT_number 1
loop_
_space_group_symop_operation_xyz
'x,y,z'
loop_
_atom_site_label
_atom_site_type_symbol
_atom_site_fract_x
_atom_site_fract_y
_atom_site_fract_z
In1 In 0.8750 0.6252 0.7500
In2 In 0.3748 0.6250 0.2500
Fe1 Fe 0.5000 0.5000 0.0000
In3 In 0.3750 0.6248 0.7500
Ga1 Ga 0.7500 0.2500 0.5000
Fe2 Fe 0.2500 0.7500 0.5000
In4 In 0.3752 0.1250 0.2500
Ga2 Ga 0.0000 0.0000 0.0000
# Total magnetic moment   0.72 μB/f.u.
# Energy of formation   0.217 eV/atom
# E   -4.02 eV/atom

# In3GaFe (GGA-PBE, optimized geometry)
data_In3GaFe
_cell_length_a 4.9932
_cell_length_b 4.9932
_cell_length_c 4.9932
_cell_angle_alpha 90.00
_cell_angle_beta 90.00
_cell_angle_gamma 90.00
_space_group_name_H-M_alt 'P 1'
_space_group_IT_number 1
loop_
_space_group_symop_operation_xyz
'x,y,z'
loop_
_atom_site_label
_atom_site_type_symbol
_atom_site_fract_x
_atom_site_fract_y
_atom_site_fract_z
In1 In 0.0000 0.0000 0.5000
Ga1 Ga 0.5000 0.5000 0.5000
In2 In 0.5000 0.0000 0.0000
In3 In 0.0000 0.5000 0.0000
Fe1 Fe 0.0000 0.0000 0.0000
# Total magnetic moment   0.21 μB/f.u.
# Energy of formation   0.236 eV/atom
# ΔE to the lowest computed polymorph   0.0 meV per atom
# E   -3.70 eV/atom